[1]
# TlSn2F6 (GGA-PBE, relaxed)
data_TlSn2F6
_chemical_formula_sum 'Tl2 Sn4 F12'
_cell_length_a 7.9940
_cell_length_b 7.9940
_cell_length_c 6.5407
_cell_angle_alpha 111.48
_cell_angle_beta 111.48
_cell_angle_gamma 91.12
_symmetry_space_group_name_H-M 'P 1'
_symmetry_Int_Tables_number 1
_symmetry_space_group_name_Hall 'P 1'
loop_
_atom_site_label
_atom_site_type_symbol
_atom_site_fract_x
_atom_site_fract_y
_atom_site_fract_z
Tl1 Tl 0.1311 0.8689 0.7500
Tl2 Tl 0.8689 0.1311 0.2500
Sn1 Sn 0.2181 0.4493 0.1404
Sn2 Sn 0.4493 0.2181 0.6404
Sn3 Sn 0.5507 0.7819 0.3596
Sn4 Sn 0.7819 0.5507 0.8596
F1 F 0.0296 0.4629 0.8020
F2 F 0.0712 0.1933 0.0012
F3 F 0.1933 0.0712 0.5012
F4 F 0.3134 0.3963 0.4684
F5 F 0.3963 0.3134 0.9684
F6 F 0.4629 0.0296 0.3020
F7 F 0.5371 0.9704 0.6980
F8 F 0.6037 0.6866 0.0316
F9 F 0.6866 0.6037 0.5316
F10 F 0.8067 0.9288 0.4988
F11 F 0.9288 0.8067 0.9988
F12 F 0.9704 0.5371 0.1980
# * formation energy from raw total energies: -2203 meV per atom
# * spin magnetization: 0.000 μB/atom


[2]
# TlSnF6 (GGA-PBE, relaxed)
data_TlSnF6
_chemical_formula_sum 'Tl2 Sn2 F12'
_cell_length_a 5.7081
_cell_length_b 8.7931
_cell_length_c 5.5537
_cell_angle_alpha 90.00
_cell_angle_beta 101.62
_cell_angle_gamma 90.00
_symmetry_space_group_name_H-M 'P 1'
_symmetry_Int_Tables_number 1
_symmetry_space_group_name_Hall 'P 1'
loop_
_atom_site_label
_atom_site_type_symbol
_atom_site_fract_x
_atom_site_fract_y
_atom_site_fract_z
Tl1 Tl 0.0000 0.0000 0.0000
Tl2 Tl 0.5000 0.5000 0.0000
Sn1 Sn 0.0000 0.5000 0.5000
Sn2 Sn 0.5000 0.0000 0.5000
F1 F 0.1937 0.3473 0.7297
F2 F 0.1937 0.6527 0.7297
F3 F 0.2483 0.0000 0.7058
F4 F 0.2517 0.5000 0.2942
F5 F 0.3063 0.1527 0.2703
F6 F 0.3063 0.8473 0.2703
F7 F 0.6937 0.1527 0.7297
F8 F 0.6937 0.8473 0.7297
F9 F 0.7483 0.5000 0.7058
F10 F 0.7517 0.0000 0.2942
F11 F 0.8063 0.3473 0.2703
F12 F 0.8063 0.6527 0.2703
# * formation energy from raw total energies: -2156 meV per atom
# * ΔE to the lowest computed polymorph: 40 meV/atom
# * spin magnetization: 0.000 μB/atom


[3]
# TlSn6F12 (GGA-PBE, relaxed)
data_TlSn6F12
_chemical_formula_sum 'Tl1 Sn6 F12'
_cell_length_a 7.4604
_cell_length_b 7.4604
_cell_length_c 7.4604
_cell_angle_alpha 103.71
_cell_angle_beta 103.71
_cell_angle_gamma 103.71
_symmetry_space_group_name_H-M 'P 1'
_symmetry_Int_Tables_number 1
_symmetry_space_group_name_Hall 'P 1'
loop_
_atom_site_label
_atom_site_type_symbol
_atom_site_fract_x
_atom_site_fract_y
_atom_site_fract_z
Tl1 Tl 0.0000 0.0000 0.0000
Sn1 Sn 0.2192 0.2192 0.5739
Sn2 Sn 0.2192 0.5739 0.2192
Sn3 Sn 0.4261 0.7808 0.7808
Sn4 Sn 0.5739 0.2192 0.2192
Sn5 Sn 0.7808 0.4261 0.7808
Sn6 Sn 0.7808 0.7808 0.4261
F1 F 0.0996 0.3369 0.3369
F2 F 0.1088 0.5000 0.8912
F3 F 0.1088 0.8912 0.5000
F4 F 0.3369 0.0996 0.3369
F5 F 0.3369 0.3369 0.0996
F6 F 0.5000 0.1088 0.8912
F7 F 0.5000 0.8912 0.1088
F8 F 0.6631 0.6631 0.9004
F9 F 0.6631 0.9004 0.6631
F10 F 0.8912 0.1088 0.5000
F11 F 0.8912 0.5000 0.1088
F12 F 0.9004 0.6631 0.6631
# * formation energy from raw total energies: -2053 meV per atom
# * spin magnetization: 0.000 μB/atom


[4]
# TlSn2F2 (GGA-PBE, relaxed)
data_TlSn2F2
_chemical_formula_sum 'Tl2 Sn4 F4'
_cell_length_a 8.4881
_cell_length_b 8.4881
_cell_length_c 3.1897
_cell_angle_alpha 90.00
_cell_angle_beta 90.00
_cell_angle_gamma 90.00
_symmetry_space_group_name_H-M 'P 1'
_symmetry_Int_Tables_number 1
_symmetry_space_group_name_Hall 'P 1'
loop_
_atom_site_label
_atom_site_type_symbol
_atom_site_fract_x
_atom_site_fract_y
_atom_site_fract_z
Tl1 Tl 0.0000 0.0000 0.0000
Tl2 Tl 0.5000 0.5000 0.0000
Sn1 Sn 0.2326 0.2674 0.5000
Sn2 Sn 0.2674 0.7674 0.5000
Sn3 Sn 0.7326 0.2326 0.5000
Sn4 Sn 0.7674 0.7326 0.5000
F1 F 0.1272 0.6272 0.0000
F2 F 0.3728 0.1272 0.0000
F3 F 0.6272 0.8728 0.0000
F4 F 0.8728 0.3728 0.0000
# * formation energy from raw total energies: -1039 meV per atom
# * ΔE to the lowest computed polymorph: 0 meV/atom
# * spin magnetization: 0.000 μB/atom


[5]
# TlSn2F2 (GGA-PBE, relaxed)
data_TlSn2F2
_chemical_formula_sum 'Tl2 Sn4 F4'
_cell_length_a 4.1228
_cell_length_b 4.1228
_cell_length_c 13.9324
_cell_angle_alpha 90.00
_cell_angle_beta 90.00
_cell_angle_gamma 90.00
_symmetry_space_group_name_H-M 'P 1'
_symmetry_Int_Tables_number 1
_symmetry_space_group_name_Hall 'P 1'
loop_
_atom_site_label
_atom_site_type_symbol
_atom_site_fract_x
_atom_site_fract_y
_atom_site_fract_z
Tl1 Tl 0.0000 0.0000 0.0000
Tl2 Tl 0.5000 0.5000 0.5000
Sn1 Sn 0.0000 0.5000 0.2500
Sn2 Sn 0.0000 0.5000 0.7500
Sn3 Sn 0.5000 0.0000 0.2500
Sn4 Sn 0.5000 0.0000 0.7500
F1 F 0.0000 0.0000 0.3922
F2 F 0.0000 0.0000 0.6078
F3 F 0.5000 0.5000 0.1078
F4 F 0.5000 0.5000 0.8922
# * formation energy from raw total energies: -959 meV per atom
# * ΔE to the lowest computed polymorph: 80 meV/atom
# * spin magnetization: 0.000 μB/atom


[6]
# Tl3SnF (GGA-PBE, relaxed)
data_Tl3SnF
_chemical_formula_sum 'Tl3 Sn1 F1'
_cell_length_a 6.0849
_cell_length_b 6.0849
_cell_length_c 6.0849
_cell_angle_alpha 90.00
_cell_angle_beta 90.00
_cell_angle_gamma 90.00
_symmetry_space_group_name_H-M 'P 1'
_symmetry_Int_Tables_number 1
_symmetry_space_group_name_Hall 'P 1'
loop_
_atom_site_label
_atom_site_type_symbol
_atom_site_fract_x
_atom_site_fract_y
_atom_site_fract_z
Tl1 Tl 0.0000 0.0000 0.5000
Tl2 Tl 0.0000 0.5000 0.0000
Tl3 Tl 0.5000 0.0000 0.0000
Sn1 Sn 0.0000 0.0000 0.0000
F1 F 0.5000 0.5000 0.5000
# * formation energy from raw total energies: -76 meV per atom
# * ΔE to the lowest computed polymorph: 438 meV/atom
# * spin magnetization: 0.000 μB/atom


[7]
# TlSn4F8 (GGA-PBE, relaxed)
data_TlSn4F8
_chemical_formula_sum 'Tl1 Sn4 F8'
_cell_length_a 7.7315
_cell_length_b 7.7315
_cell_length_c 7.7315
_cell_angle_alpha 60.00
_cell_angle_beta 60.00
_cell_angle_gamma 60.00
_symmetry_space_group_name_H-M 'P 1'
_symmetry_Int_Tables_number 1
_symmetry_space_group_name_Hall 'P 1'
loop_
_atom_site_label
_atom_site_type_symbol
_atom_site_fract_x
_atom_site_fract_y
_atom_site_fract_z
Tl1 Tl 0.0000 0.0000 0.0000
Sn1 Sn 0.1292 0.6236 0.6236
Sn2 Sn 0.6236 0.1292 0.6236
Sn3 Sn 0.6236 0.6236 0.1292
Sn4 Sn 0.6236 0.6236 0.6236
F1 F 0.4044 0.4044 0.4044
F2 F 0.4044 0.4044 0.7867
F3 F 0.4044 0.7867 0.4044
F4 F 0.4346 0.8551 0.8551
F5 F 0.7867 0.4044 0.4044
F6 F 0.8551 0.4346 0.8551
F7 F 0.8551 0.8551 0.4346
F8 F 0.8551 0.8551 0.8551
# * formation energy from raw total energies: -1884 meV per atom
# * spin magnetization: 0.000 μB/atom


[8]
# TlSn2F8 (GGA-PBE, relaxed)
data_TlSn2F8
_chemical_formula_sum 'Tl1 Sn2 F8'
_cell_length_a 4.2407
_cell_length_b 6.7651
_cell_length_c 7.9245
_cell_angle_alpha 67.23
_cell_angle_beta 89.02
_cell_angle_gamma 73.58
_symmetry_space_group_name_H-M 'P 1'
_symmetry_Int_Tables_number 1
_symmetry_space_group_name_Hall 'P 1'
loop_
_atom_site_label
_atom_site_type_symbol
_atom_site_fract_x
_atom_site_fract_y
_atom_site_fract_z
Tl1 Tl 0.0000 0.0000 0.0000
Sn1 Sn 0.3780 0.2683 0.3172
Sn2 Sn 0.6220 0.7317 0.6828
F1 F 0.1111 0.7573 0.6744
F2 F 0.2276 0.5840 0.2927
F3 F 0.3685 0.2888 0.0575
F4 F 0.4494 0.0957 0.6099
F5 F 0.5506 0.9043 0.3901
F6 F 0.6315 0.7112 0.9425
F7 F 0.7724 0.4160 0.7073
F8 F 0.8889 0.2427 0.3256
# * formation energy from raw total energies: -2266 meV per atom
# * ΔE to the lowest computed polymorph: 0 meV/atom
# * spin magnetization: 0.000 μB/atom


Q: Which of these has the lowest formation energy from raw total energies?
A: TlSn2F8


Q: Which value of formation energy from raw total energies does entry 5 give?
A: -959 meV per atom


Q: Which formula does entry 4 have?
A: TlSn2F2


Copy entry 6 word for word.
# Tl3SnF (GGA-PBE, relaxed)
data_Tl3SnF
_chemical_formula_sum 'Tl3 Sn1 F1'
_cell_length_a 6.0849
_cell_length_b 6.0849
_cell_length_c 6.0849
_cell_angle_alpha 90.00
_cell_angle_beta 90.00
_cell_angle_gamma 90.00
_symmetry_space_group_name_H-M 'P 1'
_symmetry_Int_Tables_number 1
_symmetry_space_group_name_Hall 'P 1'
loop_
_atom_site_label
_atom_site_type_symbol
_atom_site_fract_x
_atom_site_fract_y
_atom_site_fract_z
Tl1 Tl 0.0000 0.0000 0.5000
Tl2 Tl 0.0000 0.5000 0.0000
Tl3 Tl 0.5000 0.0000 0.0000
Sn1 Sn 0.0000 0.0000 0.0000
F1 F 0.5000 0.5000 0.5000
# * formation energy from raw total energies: -76 meV per atom
# * ΔE to the lowest computed polymorph: 438 meV/atom
# * spin magnetization: 0.000 μB/atom